[1]
An optimized crystal structure of ZnGa4Rh2. Source: Alexandria via LeMat-Bulk, functional PBE.

```
7
Lattice="4.634 0.000 0.000 0.000 4.634 0.000 2.317 2.317 6.303" Properties=species:S:1:pos:R:3 pbc="T T T"
Zn 0.000 0.000 0.000
Rh 2.317 2.317 1.320
Rh 4.634 4.634 4.983
Ga 2.317 2.317 3.739
Ga 4.634 4.634 2.564
Ga 0.000 2.317 0.000
Ga 2.317 0.000 0.000
```

Calculated values
M_tot (Bohr magnetons per cell): 0.000
Formation energy from the elements (eV/atom): 0.1860
DOS at the Fermi energy (states/eV per cell): 2.35
Calculated volume (Å³/f.u.): 135.3
Space-group type: I4/mmm, No. 139
Total energy (eV/cell): -26.78


[2]
An optimized crystal structure of Zn12GaRh6. Source: Alexandria via LeMat-Bulk, functional PBE.

```
19
Lattice="-2.170 -0.806 -6.116 5.647 -2.952 -1.471 -2.652 -5.689 1.835" Properties=species:S:1:pos:R:3 pbc="T T T"
Zn -1.438 -4.173 -2.128
Zn 1.530 -4.511 -1.147
Zn 0.923 -2.946 -3.805
Zn 2.262 -5.275 -3.623
Zn -0.706 -4.936 -4.605
Zn -0.098 -6.502 -1.946
Zn 1.951 -7.075 -5.504
Zn -0.090 -0.931 -2.467
Zn 1.676 -1.975 -0.500
Zn -1.126 -2.373 -0.248
Zn 0.914 -8.516 -3.285
Zn -0.852 -7.473 -5.252
Ga 0.000 0.000 0.000
Rh -0.651 -5.076 0.168
Rh -2.371 -6.353 -3.217
Rh 2.435 -6.916 -1.603
Rh 1.476 -4.372 -5.920
Rh 3.196 -3.095 -2.534
Rh -1.611 -2.531 -4.149
```

Calculated values
M_tot (Bohr magnetons per cell): 0.000
Formation energy from the elements (eV/atom): -0.2673
DOS at the Fermi energy (states/eV per cell): 9.53
Calculated volume (Å³/f.u.): 279.5
Space-group type: R-3, No. 148
Total energy (eV/cell): -67.50


[3]
An optimized crystal structure of Zn3GaRh4. Source: Alexandria via LeMat-Bulk, functional PBE.

```
8
Lattice="4.124 -0.003 -1.115 -0.299 4.118 -1.098 -0.396 -0.453 6.736" Properties=species:S:1:pos:R:3 pbc="T T T"
Zn -0.150 2.059 -0.549
Zn 2.825 0.806 2.276
Zn 0.603 2.856 2.246
Rh 1.141 1.208 4.237
Rh 2.288 2.454 0.285
Rh 0.375 0.397 1.392
Rh 3.054 3.265 3.130
Ga 2.062 -0.002 -0.557
```

Calculated values
M_tot (Bohr magnetons per cell): 0.000
Formation energy from the elements (eV/atom): -0.5117
DOS at the Fermi energy (states/eV per cell): 2.51
Calculated volume (Å³/f.u.): 110.4
Space-group type: Fmmm, No. 69
Total energy (eV/cell): -40.35